# TiSi2Cl

Crystalline TiSi2Cl at its relaxed geometry (GGA-PBE, Alexandria via LeMat-Bulk).

a = 6.444 Å, b = 6.444 Å, c = 6.444 Å
α = 97.00°, β = 97.00°, γ = 139.13°
Element x y z (fractional)
Ti (0.000, 0.000, 0.000)
Ti (0.750, 0.250, 0.500)
Si (0.056, 0.625, 0.931)
Si (0.375, 0.306, 0.431)
Si (0.694, 0.125, 0.069)
Si (0.875, 0.944, 0.569)
Cl (0.250, 0.750, 0.500)
Cl (0.500, 0.500, 0.000)

## Properties
Density of states at the Fermi level   8.6 states/eV per cell
Energy above the lowest structure with this stoichiometry   0.000 eV/atom
ρ   2.82 g cm⁻³
Formation energy without anion corrections   94 meV per atom
E   -0.18571 Ha/atom

=====

# Li2CaSiGe2

Crystalline Li2CaSiGe2 at its relaxed geometry (GGA-PBE, Alexandria via LeMat-Bulk).

a = 4.088 Å, b = 7.916 Å, c = 7.171 Å
α = 90.00°, β = 90.00°, γ = 90.00°
Element x y z (fractional)
Li (0.000, 0.071, 0.000)
Li (0.000, 0.929, 0.500)
Li (0.500, 0.167, 0.319)
Li (0.500, 0.833, 0.819)
Ca (0.500, 0.429, 0.953)
Ca (0.500, 0.571, 0.453)
Si (0.000, 0.319, 0.606)
Si (0.000, 0.681, 0.106)
Ge (0.000, 0.363, 0.247)
Ge (0.000, 0.637, 0.747)
Ge (0.500, 0.144, 0.687)
Ge (0.500, 0.856, 0.187)

## Properties
Density of states at the Fermi level   2.2 states/eV per cell
ρ   3.25 g cm⁻³
Formation energy without anion corrections   -337 meV per atom
E   -0.13787 Ha/atom

=====

# TbNdDyCu

Crystalline TbNdDyCu at its relaxed geometry (GGA-PBE, Alexandria via LeMat-Bulk).

a = 3.537 Å, b = 3.537 Å, c = 8.709 Å
α = 90.00°, β = 90.00°, γ = 90.00°
Element x y z (fractional)
Tb (0.000, 0.000, 0.000)
Nd (0.500, 0.500, 0.692)
Dy (0.000, 0.000, 0.385)
Cu (0.500, 0.500, 0.195)

## Properties
Density of states at the Fermi level   3.6 states/eV per cell
ρ   8.07 g cm⁻³
Energy of formation   -0.100 eV per atom
E   -0.16992 Ha/atom